Entry 1:
{"formula": "LaPr2Pd4", "functional": "PBE", "state": "relaxed", "lattice_angstrom": [[5.201, 0.000, 0.000], [0.000, 5.201, 0.000], [0.000, 0.000, 15.200]], "species": ["La", "La", "Pr", "Pr", "Pr", "Pr", "Pd", "Pd", "Pd", "Pd", "Pd", "Pd", "Pd", "Pd"], "frac_coords": [[0.000, 0.000, 0.000], [0.500, 0.500, 0.500], [0.000, 0.000, 0.364], [0.000, 0.000, 0.636], [0.500, 0.500, 0.136], [0.500, 0.500, 0.864], [0.000, 0.000, 0.182], [0.000, 0.000, 0.818], [0.000, 0.500, 0.000], [0.000, 0.500, 0.500], [0.500, 0.000, 0.000], [0.500, 0.000, 0.500], [0.500, 0.500, 0.318], [0.500, 0.500, 0.682]], "total_energy_ev_per_cell": -72.754, "delta_e_f_ev_per_atom": -0.16, "de_polymorph_ev_per_atom": 0.567}

Entry 2:
{"formula": "La2PrPd", "functional": "PBE", "state": "relaxed", "lattice_angstrom": [[3.752, 0.000, 0.000], [0.000, 3.752, 0.000], [0.000, 0.000, 8.758]], "species": ["La", "La", "Pr", "Pd"], "frac_coords": [[0.000, 0.000, 0.200], [0.000, 0.000, 0.800], [0.500, 0.500, 0.500], [0.500, 0.500, 0.000]], "total_energy_ev_per_cell": -21.195, "delta_e_f_ev_per_atom": -0.34, "de_polymorph_ev_per_atom": 0.070}

Entry 3:
{"formula": "La3PrPd", "functional": "PBE", "state": "relaxed", "lattice_angstrom": [[6.415, 0.000, 0.000], [0.000, 7.270, 0.000], [-0.401, 0.000, 7.200]], "species": ["La", "La", "La", "La", "La", "La", "Pr", "Pr", "Pd", "Pd"], "frac_coords": [[0.050, 0.250, 0.096], [0.429, 0.000, 0.763], [0.429, 0.500, 0.763], [0.571, 0.000, 0.237], [0.571, 0.500, 0.237], [0.950, 0.750, 0.904], [0.111, 0.750, 0.406], [0.889, 0.250, 0.594], [0.314, 0.250, 0.454], [0.686, 0.750, 0.546]], "total_energy_ev_per_cell": -52.092, "delta_e_f_ev_per_atom": -0.26, "de_polymorph_ev_per_atom": 0.000}

Entry 4:
{"formula": "La2PrPd9", "functional": "PBE", "state": "relaxed", "lattice_angstrom": [[4.230, 0.000, 0.000], [0.000, 4.230, 0.000], [0.000, 0.000, 12.685]], "species": ["La", "La", "Pr", "Pd", "Pd", "Pd", "Pd", "Pd", "Pd", "Pd", "Pd", "Pd"], "frac_coords": [[0.000, 0.000, 0.168], [0.000, 0.000, 0.832], [0.000, 0.000, 0.500], [0.000, 0.500, 0.000], [0.000, 0.500, 0.333], [0.000, 0.500, 0.667], [0.500, 0.000, 0.000], [0.500, 0.000, 0.333], [0.500, 0.000, 0.667], [0.500, 0.500, 0.167], [0.500, 0.500, 0.500], [0.500, 0.500, 0.833]], "total_energy_ev_per_cell": -70.644, "delta_e_f_ev_per_atom": -0.77, "de_polymorph_ev_per_atom": 0.000}